First-principles (PBE) data for an optimized crystal structure of Er3Zn3Ni, as listed in Alexandria.

Values from the calculation:
- Fermi-level density of states: 0.83 states/eV per atom
- E_form: -362 meV/atom
- Space-group type: Imm2

Cell lengths 3.6240, 4.3956, 18.3671 Å; angles 90.00, 90.00, 90.00 degrees
Positions (direct):
1 Er 0.0000 0.0000 0.0000
2 Er 0.0000 0.0000 0.3743
3 Er 0.0000 0.5000 0.2015
4 Er 0.5000 0.0000 0.7015
5 Er 0.5000 0.5000 0.5000
6 Er 0.5000 0.5000 0.8743
7 Zn 0.0000 0.0000 0.5532
8 Zn 0.0000 0.0000 0.8317
9 Zn 0.0000 0.5000 0.6304
10 Zn 0.5000 0.0000 0.1304
11 Zn 0.5000 0.5000 0.0532
12 Zn 0.5000 0.5000 0.3317
13 Ni 0.0000 0.5000 0.7627
14 Ni 0.5000 0.0000 0.2627

First-principles (PBE) data for an optimized crystal structure of Co3CSe, as listed in Alexandria.

Values from the calculation:
- Fermi-level density of states: 0.77 states/eV per atom
- Energy relative to the lowest polymorph listed for this composition: 1.634 eV per atom
- Space-group type: Pm-3m

Cell lengths 4.3015, 4.3015, 4.3015 Å; angles 90.00, 90.00, 90.00 degrees
Positions (direct):
1 Co 0.0000 0.0000 0.5000
2 Co 0.0000 0.5000 0.0000
3 Co 0.5000 0.0000 0.0000
4 C 0.5000 0.5000 0.5000
5 Se 0.0000 0.0000 0.0000

First-principles (PBE) data for an optimized crystal structure of HfZn2CoCu, as listed in Alexandria.

Values from the calculation:
- Fermi-level density of states: 0.83 states/eV per atom
- E_form: 479 meV/atom
- Energy relative to the lowest polymorph listed for this composition: 0.000 eV per atom
- Space-group type: P4/mmm

Cell lengths 4.3877, 4.3877, 4.4098 Å; angles 90.00, 90.00, 90.00 degrees
Positions (direct):
1 Hf 0.0000 0.0000 0.0000
2 Zn 0.0000 0.5000 0.5000
3 Zn 0.5000 0.0000 0.5000
4 Co 0.5000 0.5000 0.5000
5 Cu 0.5000 0.5000 0.0000

First-principles (PBE) data for an optimized crystal structure of CaHfH3, as listed in Alexandria.

Values from the calculation:
- Fermi-level density of states: 0.52 states/eV per atom
- Energy relative to the lowest polymorph listed for this composition: 0.607 eV per atom
- Space-group type: Pm-3m

Cell lengths 3.9275, 3.9275, 3.9275 Å; angles 90.00, 90.00, 90.00 degrees
Positions (direct):
1 Ca 0.0000 0.0000 0.0000
2 Hf 0.5000 0.5000 0.5000
3 H 0.0000 0.0000 0.5000
4 H 0.0000 0.5000 0.0000
5 H 0.5000 0.0000 0.0000

First-principles (PBE) data for an optimized crystal structure of LaPrGa2Pd5, as listed in Alexandria.

Values from the calculation:
- Fermi-level density of states: 0.75 states/eV per atom
- E_form: -785 meV/atom
- Space-group type: P4/mmm

Cell lengths 4.3580, 4.3580, 9.2370 Å; angles 90.00, 90.00, 90.00 degrees
Positions (direct):
1 La 0.0000 0.0000 0.0000
2 Pr 0.0000 0.0000 0.5000
3 Ga 0.5000 0.5000 0.1425
4 Ga 0.5000 0.5000 0.8575
5 Pd 0.0000 0.5000 0.2761
6 Pd 0.0000 0.5000 0.7239
7 Pd 0.5000 0.0000 0.2761
8 Pd 0.5000 0.0000 0.7239
9 Pd 0.5000 0.5000 0.5000

First-principles (PBE) data for an optimized crystal structure of SrHfSb3, as listed in Alexandria.

Values from the calculation:
- Fermi-level density of states: 1.60 states/eV per atom
- Energy relative to the lowest polymorph listed for this composition: 1.549 eV per atom
- Space-group type: Pm-3m

Cell lengths 5.7320, 5.7320, 5.7320 Å; angles 90.00, 90.00, 90.00 degrees
Positions (direct):
1 Sr 0.0000 0.0000 0.0000
2 Hf 0.5000 0.5000 0.5000
3 Sb 0.0000 0.0000 0.5000
4 Sb 0.0000 0.5000 0.0000
5 Sb 0.5000 0.0000 0.0000

First-principles (PBE) data for an optimized crystal structure of NdGeRh, as listed in Alexandria.

Values from the calculation:
- Fermi-level density of states: 0.80 states/eV per atom
- E_form: -833 meV/atom
- Space-group type: P-6m2

Cell lengths 4.3441, 4.3441, 3.9310 Å; angles 90.00, 90.00, 120.00 degrees
Positions (direct):
1 Nd 0.0000 0.0000 0.0000
2 Ge 0.6667 0.3333 0.5000
3 Rh 0.3333 0.6667 0.5000

First-principles (PBE) data for an optimized crystal structure of MgCu2Ru, as listed in Alexandria.

Values from the calculation:
- Fermi-level density of states: 0.76 states/eV per atom
- E_form: 118 meV/atom
- Space-group type: Cm

Cell lengths 9.0187, 2.7179, 4.6295 Å; angles 90.00, 102.99, 90.00 degrees
Positions (direct):
1 Mg 0.0000 0.0000 0.0000
2 Mg 0.5000 0.5000 0.0000
3 Cu 0.2541 0.5000 0.2462
4 Cu 0.4908 0.0000 0.4960
5 Cu 0.7541 0.0000 0.2462
6 Cu 0.9908 0.5000 0.4960
7 Ru 0.2388 0.0000 0.7283
8 Ru 0.7388 0.5000 0.7283

First-principles (PBE) data for an optimized crystal structure of Ta3Te2, as listed in Alexandria.

Values from the calculation:
- Raw total energy: -7.68 eV/atom
- Fermi-level density of states: 1.13 states/eV per atom
- Space-group type: P-3m1

Cell lengths 4.4869, 4.4869, 6.2347 Å; angles 90.00, 90.00, 120.00 degrees
Positions (direct):
1 Ta 0.0000 0.0000 0.0000
2 Ta 0.3333 0.6667 0.3670
3 Ta 0.6667 0.3333 0.6330
4 Te 0.3333 0.6667 0.8105
5 Te 0.6667 0.3333 0.1895

First-principles (PBE) data for an optimized crystal structure of La2BePbAu, as listed in Alexandria.

Values from the calculation:
- Fermi-level density of states: 1.25 states/eV per atom
- E_form: 423 meV/atom
- Space-group type: P4/mmm

Cell lengths 5.7810, 5.7810, 5.3371 Å; angles 90.00, 90.00, 90.00 degrees
Positions (direct):
1 La 0.0000 0.5000 0.0000
2 La 0.5000 0.0000 0.0000
3 Be 0.0000 0.0000 0.5000
4 Pb 0.5000 0.5000 0.5000
5 Au 0.5000 0.5000 0.0000

First-principles (PBE) data for an optimized crystal structure of Mg2TlSb, as listed in Alexandria.

Values from the calculation:
- Fermi-level density of states: 0.23 states/eV per atom
- Energy relative to the lowest polymorph listed for this composition: 0.077 eV per atom
- Space-group type: R-3m

Cell lengths 3.4977, 3.4977, 27.9424 Å; angles 90.00, 90.00, 120.00 degrees
Positions (direct):
1 Mg 0.0000 0.0000 0.2474
2 Mg 0.0000 0.0000 0.7526
3 Mg 0.3333 0.6667 0.4193
4 Mg 0.3333 0.6667 0.9141
5 Mg 0.6667 0.3333 0.0859
6 Mg 0.6667 0.3333 0.5807
7 Tl 0.0000 0.0000 0.5000
8 Tl 0.3333 0.6667 0.1667
9 Tl 0.6667 0.3333 0.8333
10 Sb 0.0000 0.0000 0.0000
11 Sb 0.3333 0.6667 0.6667
12 Sb 0.6667 0.3333 0.3333

First-principles (PBE) data for an optimized crystal structure of Sr4Ca2TlCu4PbO14, as listed in Alexandria.

Values from the calculation:
- Raw total energy: -5.65 eV/atom
- Fermi-level density of states: 0.19 states/eV per atom
- Space-group type: I4/mmm

Cell lengths 12.8726, 12.8726, 12.8726 Å; angles 155.94, 155.94, 34.29 degrees
Positions (direct):
1 Sr 0.1074 0.6074 0.5000
2 Sr 0.3926 0.8926 0.5000
3 Sr 0.6074 0.1074 0.5000
4 Sr 0.8926 0.3926 0.5000
5 Ca 0.2500 0.7500 0.5000
6 Ca 0.7500 0.2500 0.5000
7 Tl 0.0000 0.0000 0.0000
8 Cu 0.1800 0.1800 0.0000
9 Cu 0.3208 0.3208 0.0000
10 Cu 0.6792 0.6792 0.0000
11 Cu 0.8200 0.8200 0.0000
12 Pb 0.5000 0.5000 0.0000
13 O 0.0000 0.5000 0.5000
14 O 0.0641 0.0641 0.4998
15 O 0.0641 0.5643 0.0000
16 O 0.0851 0.0851 0.0000
17 O 0.4131 0.4131 0.0000
18 O 0.4357 0.4357 0.4998
19 O 0.4357 0.9359 0.0000
20 O 0.5000 0.0000 0.5000
21 O 0.5643 0.0641 0.0000
22 O 0.5643 0.5643 0.5002
23 O 0.5869 0.5869 0.0000
24 O 0.9149 0.9149 0.0000
25 O 0.9359 0.4357 0.0000
26 O 0.9359 0.9359 0.5002

First-principles (PBE) data for an optimized crystal structure of NaNd2F8, as listed in Alexandria.

Values from the calculation:
- Raw total energy: -5.78 eV/atom
- Fermi-level density of states: 0.46 states/eV per atom
- Space-group type: C2/m

Cell lengths 7.2924, 7.2924, 5.8114 Å; angles 113.47, 113.47, 31.67 degrees
Positions (direct):
1 Na 0.0000 0.0000 0.0000
2 Nd 0.3331 0.3331 0.3392
3 Nd 0.6669 0.6669 0.6608
4 F 0.0986 0.0986 0.7607
5 F 0.1742 0.1742 0.3989
6 F 0.2851 0.2851 0.8935
7 F 0.4827 0.4827 0.7175
8 F 0.5173 0.5173 0.2825
9 F 0.7149 0.7149 0.1065
10 F 0.8258 0.8258 0.6011
11 F 0.9014 0.9014 0.2393